(1)
Computed, not measured: a geometry-optimized Ba2TeAuSe5 structure at the PBE level of DFT.

Computed properties:
Total DFT energy (no corrections) ... -71.5 eV per cell
DOS at the Fermi energy ... 0.291 states/eV per atom
SG ... Cmc2_1
M_tot ... 0.0 μB per cell
Calculated volume ... 541.4 Å³/cell
ρ ... 6.1 g/cm3

Cell lengths 4.266, 9.940, 13.073 Å; angles 90.00, 90.00, 102.39 degrees
Atoms (fractional coordinates):
Ba (0.115, 0.231, 0.702)
Ba (0.877, 0.754, 0.818)
Ba (0.123, 0.246, 0.318)
Ba (0.885, 0.769, 0.202)
Se (0.293, 0.585, 0.365)
Se (0.496, 0.992, 0.760)
Se (0.044, 0.088, 0.047)
Se (0.714, 0.429, 0.161)
Se (0.653, 0.306, 0.510)
Se (0.504, 0.008, 0.260)
Se (0.956, 0.912, 0.547)
Se (0.286, 0.571, 0.661)
Se (0.347, 0.694, 0.010)
Se (0.707, 0.415, 0.865)
Au (0.473, 0.946, 0.446)
Au (0.527, 0.054, 0.946)
Te (0.790, 0.580, 0.515)
Te (0.210, 0.420, 0.015)

=====

(2)
Computed, not measured: a geometry-optimized BaTeAu2Se4 structure at the PBE level of DFT.

Computed properties:
Total DFT energy (no corrections) ... -29.4 eV per cell
SG ... I222
M_tot ... 0.0 μB per cell
Calculated volume ... 248.1 Å³/cell
ρ ... 6.5 g/cm3

Cell lengths 6.944, 6.915, 6.915 Å; angles 77.42, 59.86, 59.86 degrees
Atoms (fractional coordinates):
Au (0.500, 0.323, 0.677)
Au (0.500, 0.677, 0.323)
Ba (0.000, 0.000, 0.000)
Se (0.591, 0.494, 0.879)
Se (0.409, 0.121, 0.506)
Se (0.036, 0.879, 0.494)
Se (0.964, 0.506, 0.121)
Te (0.000, 0.500, 0.500)

=====

(3)
Computed, not measured: a geometry-optimized Ba3UAu2Se6 structure at the PBE level of DFT.

Computed properties:
Total DFT energy (no corrections) ... -57.4 eV per cell
DOS at the Fermi energy ... 0.584 states/eV per atom
SG ... P-3m1
M_tot ... 0.1 μB per cell
Calculated volume ... 382.1 Å³/cell
ρ ... 6.6 g/cm3

Cell lengths 7.355, 7.355, 8.155 Å; angles 90.00, 90.00, 120.00 degrees
Each line ends with the local moment (μB).
Atoms (fractional coordinates):
Ba (0.667, 0.333, 0.353)  0.00
Ba (0.333, 0.667, 0.647)  0.00
Ba (0.000, 0.000, 0.000)  0.00
Se (0.341, 0.171, 0.694)  0.00
Se (0.829, 0.171, 0.694)  0.00
Se (0.829, 0.659, 0.694)  0.00
Se (0.659, 0.829, 0.306)  0.00
Se (0.171, 0.829, 0.306)  0.00
Se (0.171, 0.341, 0.306)  0.00
U (0.000, 0.000, 0.500)  0.07
Au (0.333, 0.667, 0.078)  0.01
Au (0.667, 0.333, 0.922)  0.01

=====

(4)
Computed, not measured: a geometry-optimized Ba2UAuSe6 structure at the PBE level of DFT.

Computed properties:
Total DFT energy (no corrections) ... -100.4 eV per cell
DOS at the Fermi energy ... 0.894 states/eV per atom
SG ... Pmmn
M_tot ... 0.0 μB per cell
Calculated volume ... 610.9 Å³/cell
ρ ... 6.4 g/cm3

Cell lengths 7.526, 7.774, 10.443 Å; angles 90.00, 90.00, 90.00 degrees
Atoms (fractional coordinates):
Se (0.249, 0.488, 0.500)
Se (0.500, 0.224, 0.245)
Se (0.251, 0.001, 0.500)
Se (0.249, 0.999, 0.000)
Se (0.751, 0.488, 0.500)
Se (0.751, 0.999, 0.000)
Se (0.000, 0.776, 0.745)
Se (0.000, 0.776, 0.255)
Se (0.749, 0.001, 0.500)
Se (0.251, 0.512, 0.000)
Se (0.749, 0.512, 0.000)
Se (0.500, 0.224, 0.755)
Au (0.500, 0.263, 0.000)
Au (0.000, 0.737, 0.500)
Ba (0.500, 0.781, 0.243)
Ba (0.500, 0.781, 0.757)
Ba (0.000, 0.219, 0.257)
Ba (0.000, 0.219, 0.743)
U (0.000, 0.750, 0.000)
U (0.500, 0.250, 0.500)

=====

(5)
Computed, not measured: a geometry-optimized BaV2AuSe structure at the PBE level of DFT.

Computed properties:
Total DFT energy (no corrections) ... -25.5 eV per cell
DOS at the Fermi energy ... 1.260 states/eV per atom
SG ... P4/mmm
M_tot ... 7.2 μB per cell
Calculated volume ... 148.3 Å³/cell
ρ ... 5.8 g/cm3

Cell lengths 4.804, 6.423, 4.804 Å; angles 90.00, 90.00, 90.00 degrees
Each line ends with the local moment (μB).
Atoms (fractional coordinates):
Se (0.000, 0.000, 0.000)  -0.07
Au (0.500, 0.500, 0.500)  0.07
Ba (0.000, 0.500, 0.000)  0.05
V (0.000, 0.000, 0.500)  3.01
V (0.500, 0.000, 0.000)  2.60

=====

(6)
Computed, not measured: a geometry-optimized BaSiAu3 structure at the PBE level of DFT.

Computed properties:
DOS at the Fermi energy ... 0.331 states/eV per atom
Polymorph energy (0 for the lowest one) ... 2 meV/atom
SG ... R3m
M_tot ... 0.0 μB per cell
Calculated volume ... 119.7 Å³/cell
ρ ... 10.5 g/cm3

Cell lengths 4.930, 4.930, 4.930 Å; angles 88.47, 88.47, 88.47 degrees
Atoms (fractional coordinates):
Si (0.834, 0.834, 0.834)
Au (0.317, 0.741, 0.741)
Au (0.741, 0.741, 0.317)
Au (0.741, 0.317, 0.741)
Ba (0.241, 0.241, 0.241)

=====

> Which formula does entry 6 have?

BaSiAu3